(1)
VASP calculation (PBE-GGA) on Ca3AlN3 after structural relaxation.

Calculated values
Total magnetization, μB per cell: 0.00
Excess energy over the best structure of this formula in the dataset, eV/atom: 0.116
Energy relative to the elements, uncorrected, eV/atom: -0.901
Symmetry: R3m, No. 160

Cell: 6.1755 6.1755 6.1755 Å, 116.03 116.03 116.03°
Element x y z (fractional)
1 Ca 0.1810 0.1810 0.6380
2 Ca 0.1810 0.6380 0.1810
3 Ca 0.6380 0.1810 0.1810
4 Al 0.5427 0.5427 0.5427
5 N 0.2821 0.5861 0.5861
6 N 0.5861 0.2821 0.5861
7 N 0.5861 0.5861 0.2821


(2)
VASP calculation (PBE-GGA) on Ca3AlN3 after structural relaxation.

Calculated values
N(E_F), states/eV per cell: 0.000
Total magnetization, μB per cell: 0.00
Excess energy over the best structure of this formula in the dataset, eV/atom: 0.054
Energy relative to the elements, uncorrected, eV/atom: -0.963
Symmetry: Cmce, No. 64

Cell: 8.0166 8.0166 9.7342 Å, 90.00 90.00 40.64°
Element x y z (fractional)
1 Ca 0.0365 0.3266 0.8644
2 Ca 0.1290 0.8710 0.8388
3 Ca 0.1734 0.4635 0.6356
4 Ca 0.3266 0.0365 0.1356
5 Ca 0.3710 0.6290 0.3388
6 Ca 0.4635 0.1734 0.3644
7 Ca 0.5365 0.8266 0.6356
8 Ca 0.6290 0.3710 0.6612
9 Ca 0.6734 0.9635 0.8644
10 Ca 0.8266 0.5365 0.3644
11 Ca 0.8710 0.1290 0.1612
12 Ca 0.9635 0.6734 0.1356
13 Al 0.0868 0.0868 0.5000
14 Al 0.4132 0.4132 0.0000
15 Al 0.5868 0.5868 0.0000
16 Al 0.9132 0.9132 0.5000
17 N 0.0500 0.6365 0.3838
18 N 0.1365 0.5500 0.8838
19 N 0.2031 0.7969 0.5931
20 N 0.2969 0.7031 0.0931
21 N 0.3635 0.9500 0.3838
22 N 0.4500 0.8635 0.8838
23 N 0.5500 0.1365 0.1162
24 N 0.6365 0.0500 0.6162
25 N 0.7031 0.2969 0.9069
26 N 0.7969 0.2031 0.4069
27 N 0.8635 0.4500 0.1162
28 N 0.9500 0.3635 0.6162


(3)
VASP calculation (PBE-GGA) on CaAlN3 after structural relaxation.

Calculated values
N(E_F), states/eV per cell: 3.633
Total magnetization, μB per cell: 5.24
Energy relative to the elements, uncorrected, eV/atom: 2.015
Symmetry: Pm-3m, No. 221

Cell: 4.4200 4.4200 4.4200 Å, 90.00 90.00 90.00°
Element x y z (fractional)
1 Ca 0.0000 0.0000 0.0000
2 Al 0.5000 0.5000 0.5000
3 N 0.0000 0.0000 0.5000
4 N 0.0000 0.5000 0.0000
5 N 0.5000 0.0000 0.0000


(4)
VASP calculation (PBE-GGA) on Ca6AlN2 after structural relaxation.

Calculated values
N(E_F), states/eV per cell: 2.340
Total magnetization, μB per cell: 0.91
Energy relative to the elements, uncorrected, eV/atom: -0.447
Symmetry: R3, No. 146

Cell: 7.0097 7.0097 7.0097 Å, 57.52 57.52 57.52°
Element x y z (fractional)
1 Ca 0.0183 0.3542 0.6275
2 Ca 0.2102 0.7151 0.5870
3 Ca 0.3542 0.6275 0.0183
4 Ca 0.5870 0.2102 0.7151
5 Ca 0.6275 0.0183 0.3542
6 Ca 0.7151 0.5870 0.2102
7 Al 0.1387 0.1387 0.1387
8 N 0.4064 0.4064 0.4064
9 N 0.6003 0.6003 0.6003


(5)
VASP calculation (PBE-GGA) on CaAlN3 after structural relaxation.

Calculated values
N(E_F), states/eV per cell: 4.485
Total magnetization, μB per cell: 0.00
Energy relative to the elements, uncorrected, eV/atom: 0.118
Symmetry: Pm-3m, No. 221

Cell: 3.8119 3.8119 3.8119 Å, 90.00 90.00 90.00°
Element x y z (fractional)
1 Ca 0.0000 0.0000 0.0000
2 Al 0.5000 0.5000 0.5000
3 N 0.0000 0.5000 0.5000
4 N 0.5000 0.0000 0.5000
5 N 0.5000 0.5000 0.0000


(6)
VASP calculation (PBE-GGA) on NaCaAl2N after structural relaxation.

Calculated values
N(E_F), states/eV per cell: 4.523
Total magnetization, μB per cell: 0.00
Energy relative to the elements, uncorrected, eV/atom: 1.017
Symmetry: P4/mmm, No. 123

Cell: 5.8328 5.8328 4.3094 Å, 90.00 90.00 90.00°
Element x y z (fractional)
1 Na 0.0000 0.0000 0.0000
2 Ca 0.5000 0.5000 0.5000
3 Al 0.0000 0.5000 0.5000
4 Al 0.5000 0.0000 0.5000
5 N 0.5000 0.5000 0.0000


(7)
VASP calculation (PBE-GGA) on NaCa2AlN after structural relaxation.

Calculated values
N(E_F), states/eV per cell: 5.032
Total magnetization, μB per cell: 0.00
Energy relative to the elements, uncorrected, eV/atom: 1.481
Symmetry: P4/mmm, No. 123

Cell: 5.5891 5.5891 4.8780 Å, 90.00 90.00 90.00°
Element x y z (fractional)
1 Na 0.0000 0.0000 0.0000
2 Ca 0.0000 0.5000 0.0000
3 Ca 0.5000 0.0000 0.0000
4 Al 0.0000 0.0000 0.5000
5 N 0.5000 0.5000 0.5000


(8)
VASP calculation (PBE-GGA) on CaNd2AlN after structural relaxation.

Calculated values
N(E_F), states/eV per cell: 2.147
Total magnetization, μB per cell: 0.00
Energy relative to the elements, uncorrected, eV/atom: -0.702
Symmetry: P4/mmm, No. 123

Cell: 5.0268 5.0268 4.8347 Å, 90.00 90.00 90.00°
Element x y z (fractional)
1 Ca 0.0000 0.0000 0.0000
2 Nd 0.0000 0.5000 0.5000
3 Nd 0.5000 0.0000 0.5000
4 Al 0.5000 0.5000 0.0000
5 N 0.0000 0.0000 0.5000


(9)
VASP calculation (PBE-GGA) on CaAlNO2 after structural relaxation.

Calculated values
N(E_F), states/eV per cell: 3.455
Total magnetization, μB per cell: 3.96
Energy relative to the elements, uncorrected, eV/atom: 0.321
Symmetry: P4/mmm, No. 123

Cell: 4.4200 4.4200 4.6277 Å, 90.00 90.00 90.00°
Element x y z (fractional)
1 Ca 0.0000 0.0000 0.0000
2 Al 0.5000 0.5000 0.5000
3 N 0.0000 0.0000 0.5000
4 O 0.0000 0.5000 0.0000
5 O 0.5000 0.0000 0.0000


(10)
VASP calculation (PBE-GGA) on CaAlN2O after structural relaxation.

Calculated values
N(E_F), states/eV per cell: 1.445
Total magnetization, μB per cell: 2.46
Energy relative to the elements, uncorrected, eV/atom: -0.750
Symmetry: P4/mmm, No. 123

Cell: 3.8571 3.8571 3.8326 Å, 90.00 90.00 90.00°
Element x y z (fractional)
1 Ca 0.0000 0.0000 0.0000
2 Al 0.5000 0.5000 0.5000
3 N 0.0000 0.5000 0.5000
4 N 0.5000 0.0000 0.5000
5 O 0.5000 0.5000 0.0000


(11)
VASP calculation (PBE-GGA) on CaAlNO2 after structural relaxation.

Calculated values
N(E_F), states/eV per cell: 1.538
Total magnetization, μB per cell: 1.94
Energy relative to the elements, uncorrected, eV/atom: -1.669
Symmetry: P4/mmm, No. 123

Cell: 3.8115 3.8115 3.8115 Å, 90.00 90.00 90.00°
Element x y z (fractional)
1 Ca 0.0000 0.0000 0.0000
2 Al 0.5000 0.5000 0.5000
3 N 0.5000 0.5000 0.0000
4 O 0.0000 0.5000 0.5000
5 O 0.5000 0.0000 0.5000


(12)
VASP calculation (PBE-GGA) on CaAlN2O after structural relaxation.

Calculated values
N(E_F), states/eV per cell: 2.243
Total magnetization, μB per cell: 4.99
Energy relative to the elements, uncorrected, eV/atom: 1.128
Symmetry: P4/mmm, No. 123

Cell: 4.6525 4.6525 4.3856 Å, 90.00 90.00 90.00°
Element x y z (fractional)
1 Ca 0.0000 0.0000 0.0000
2 Al 0.5000 0.5000 0.5000
3 N 0.0000 0.5000 0.0000
4 N 0.5000 0.0000 0.0000
5 O 0.0000 0.0000 0.5000


(13)
VASP calculation (PBE-GGA) on Ca4Pa3AlN8 after structural relaxation.

Calculated values
N(E_F), states/eV per cell: 9.015
Total magnetization, μB per cell: 0.61
Energy relative to the elements, uncorrected, eV/atom: -1.278
Symmetry: R-3m, No. 166

Cell: 6.9439 6.9439 6.9439 Å, 59.75 59.75 59.75°
Element x y z (fractional)
1 Ca 0.0000 0.0000 0.0000
2 Ca 0.0000 0.5000 0.5000
3 Ca 0.5000 0.0000 0.5000
4 Ca 0.5000 0.5000 0.0000
5 Pa 0.0000 0.0000 0.5000
6 Pa 0.0000 0.5000 0.0000
7 Pa 0.5000 0.0000 0.0000
8 Al 0.5000 0.5000 0.5000
9 N 0.2400 0.2400 0.2400
10 N 0.2428 0.7346 0.7346
11 N 0.2654 0.2654 0.7572
12 N 0.2654 0.7572 0.2654
13 N 0.7346 0.2428 0.7346
14 N 0.7346 0.7346 0.2428
15 N 0.7572 0.2654 0.2654
16 N 0.7600 0.7600 0.7600


(14)
VASP calculation (PBE-GGA) on Ca3Pa3AlN8 after structural relaxation.

Calculated values
Total magnetization, μB per cell: 0.00
Energy relative to the elements, uncorrected, eV/atom: -1.267
Symmetry: R-3m, No. 166

Cell: 6.9233 6.9233 6.9233 Å, 59.57 59.57 59.57°
Element x y z (fractional)
1 Ca 0.0000 0.5000 0.5000
2 Ca 0.5000 0.0000 0.5000
3 Ca 0.5000 0.5000 0.0000
4 Pa 0.0000 0.0000 0.5000
5 Pa 0.0000 0.5000 0.0000
6 Pa 0.5000 0.0000 0.0000
7 Al 0.5000 0.5000 0.5000
8 N 0.2418 0.2418 0.2418
9 N 0.2449 0.7240 0.7240
10 N 0.2760 0.2760 0.7551
11 N 0.2760 0.7551 0.2760
12 N 0.7240 0.2449 0.7240
13 N 0.7240 0.7240 0.2449
14 N 0.7551 0.2760 0.2760
15 N 0.7582 0.7582 0.7582


(15)
VASP calculation (PBE-GGA) on Ca2AlPbN after structural relaxation.

Calculated values
N(E_F), states/eV per cell: 2.412
Total magnetization, μB per cell: 0.00
Energy relative to the elements, uncorrected, eV/atom: -0.609
Symmetry: P4/mmm, No. 123

Cell: 5.2347 5.2347 3.8463 Å, 90.00 90.00 90.00°
Element x y z (fractional)
1 Ca 0.0000 0.5000 0.0000
2 Ca 0.5000 0.0000 0.0000
3 Al 0.0000 0.0000 0.5000
4 Pb 0.5000 0.5000 0.5000
5 N 0.0000 0.0000 0.0000


(16)
VASP calculation (PBE-GGA) on CaPm12Al4N3 after structural relaxation.

Calculated values
N(E_F), states/eV per cell: 13.432
Total magnetization, μB per cell: 0.00
Energy relative to the elements, uncorrected, eV/atom: -0.340
Symmetry: Im-3m, No. 229

Cell: 8.7039 8.7039 8.7039 Å, 109.47 109.47 109.47°
Element x y z (fractional)
1 Ca 0.0000 0.0000 0.0000
2 Pm 0.0000 0.2703 0.2703
3 Pm 0.0000 0.7297 0.7297
4 Pm 0.2500 0.5000 0.7500
5 Pm 0.2500 0.7500 0.5000
6 Pm 0.2703 0.0000 0.2703
7 Pm 0.2703 0.2703 0.0000
8 Pm 0.5000 0.2500 0.7500
9 Pm 0.5000 0.7500 0.2500
10 Pm 0.7297 0.0000 0.7297
11 Pm 0.7297 0.7297 0.0000
12 Pm 0.7500 0.2500 0.5000
13 Pm 0.7500 0.5000 0.2500
14 Al 0.0000 0.0000 0.5000
15 Al 0.0000 0.5000 0.0000
16 Al 0.5000 0.0000 0.0000
17 Al 0.5000 0.5000 0.5000
18 N 0.0000 0.5000 0.5000
19 N 0.5000 0.0000 0.5000
20 N 0.5000 0.5000 0.0000


(17)
VASP calculation (PBE-GGA) on CaPr2AlN after structural relaxation.

Calculated values
N(E_F), states/eV per cell: 2.178
Total magnetization, μB per cell: 0.00
Energy relative to the elements, uncorrected, eV/atom: -0.679
Symmetry: P4/mmm, No. 123

Cell: 5.0757 5.0757 4.8377 Å, 90.00 90.00 90.00°
Element x y z (fractional)
1 Ca 0.0000 0.0000 0.0000
2 Pr 0.0000 0.5000 0.5000
3 Pr 0.5000 0.0000 0.5000
4 Al 0.5000 0.5000 0.0000
5 N 0.0000 0.0000 0.5000


(18)
VASP calculation (PBE-GGA) on CaPr12Al4N3 after structural relaxation.

Calculated values
N(E_F), states/eV per cell: 14.079
Total magnetization, μB per cell: 0.00
Energy relative to the elements, uncorrected, eV/atom: -0.300
Symmetry: Im-3m, No. 229

Cell: 8.8551 8.8551 8.8551 Å, 109.47 109.47 109.47°
Element x y z (fractional)
1 Ca 0.0000 0.0000 0.0000
2 Pr 0.0000 0.2705 0.2705
3 Pr 0.0000 0.7295 0.7295
4 Pr 0.2500 0.5000 0.7500
5 Pr 0.2500 0.7500 0.5000
6 Pr 0.2705 0.0000 0.2705
7 Pr 0.2705 0.2705 0.0000
8 Pr 0.5000 0.2500 0.7500
9 Pr 0.5000 0.7500 0.2500
10 Pr 0.7295 0.0000 0.7295
11 Pr 0.7295 0.7295 0.0000
12 Pr 0.7500 0.2500 0.5000
13 Pr 0.7500 0.5000 0.2500
14 Al 0.0000 0.0000 0.5000
15 Al 0.0000 0.5000 0.0000
16 Al 0.5000 0.0000 0.0000
17 Al 0.5000 0.5000 0.5000
18 N 0.0000 0.5000 0.5000
19 N 0.5000 0.0000 0.5000
20 N 0.5000 0.5000 0.0000


(19)
VASP calculation (PBE-GGA) on Ca2AlPtN after structural relaxation.

Calculated values
N(E_F), states/eV per cell: 0.902
Total magnetization, μB per cell: 0.00
Energy relative to the elements, uncorrected, eV/atom: 0.322
Symmetry: P4/mmm, No. 123

Cell: 5.3901 5.3901 4.6503 Å, 90.00 90.00 90.00°
Element x y z (fractional)
1 Ca 0.0000 0.5000 0.0000
2 Ca 0.5000 0.0000 0.0000
3 Al 0.0000 0.0000 0.5000
4 Pt 0.0000 0.0000 0.0000
5 N 0.5000 0.5000 0.5000


(20)
VASP calculation (PBE-GGA) on Ca4Pu3AlN8 after structural relaxation.

Calculated values
N(E_F), states/eV per cell: 18.243
Total magnetization, μB per cell: 11.00
Energy relative to the elements, uncorrected, eV/atom: -1.071
Symmetry: R-3m, No. 166

Cell: 6.8745 6.8745 6.8745 Å, 59.26 59.26 59.26°
Element x y z (fractional)
1 Ca 0.0000 0.0000 0.0000
2 Ca 0.0000 0.5000 0.5000
3 Ca 0.5000 0.0000 0.5000
4 Ca 0.5000 0.5000 0.0000
5 Pu 0.0000 0.0000 0.5000
6 Pu 0.0000 0.5000 0.0000
7 Pu 0.5000 0.0000 0.0000
8 Al 0.5000 0.5000 0.5000
9 N 0.2395 0.2395 0.2395
10 N 0.2425 0.7349 0.7349
11 N 0.2651 0.2651 0.7575
12 N 0.2651 0.7575 0.2651
13 N 0.7349 0.2425 0.7349
14 N 0.7349 0.7349 0.2425
15 N 0.7575 0.2651 0.2651
16 N 0.7605 0.7605 0.7605